1.
Tb3DySc3: relaxed, GGA-PBE.

Results
Total DFT energy (no corrections)   -5.167 eV/atom
ΔH_f (0 K)   0.188 eV per atom
Density   6.17 g/cm3
Polymorph energy (0 for the lowest one)   157.4 meV per atom
Total magnetic moment   0.0000 μB per atom

a = 8.3197 Å, b = 8.3197 Å, c = 20.8705 Å
α = 90.00°, β = 90.00°, γ = 120.00°
Last column: nearest neighbours and their distance in Å.
Space group R-3 (No. 148, hexagonal axes)
Inequivalent atoms, fractional coordinates:
Tb 0.0504 0.6016 0.3817 x18  4 Sc 3.19-3.47, 2 Tb 3.48, 1 Dy 3.49
Dy 0.0000 0.0000 0.1526 x6  6 Sc 3.41-3.66, 6 Tb 3.49-3.58
Sc 0.0056 0.7792 0.5566 x18  4 Sc 3.01-3.22, 3 Tb 3.19-3.34

2.
TlAgGe: relaxed, GGA-PBE.

Results
Total DFT energy (no corrections)   -3.086 eV/atom
ΔH_f (0 K)   0.192 eV per atom
Density   8.72 g/cm3
Total magnetic moment   0.0000 μB per atom

a = 5.2737 Å, b = 4.0107 Å, c = 6.9950 Å
α = 90.00°, β = 97.64°, γ = 90.00°
Last column: nearest neighbours and their distance in Å.
Space group P2_1 (No. 4)
Inequivalent atoms, fractional coordinates:
Tl 0.2299 0.0000 0.4341 x2  3 Ag 3.16-3.24, 3 Ge 3.35-3.49, 4 Tl 3.37-3.51
Ag 0.4372 0.4993 0.1410 x2  2 Ge 2.61-2.71
Ge 0.0805 0.0041 0.9058 x2  2 Ge 2.60, 2 Ag 2.61-2.71

3.
PmPr2DyHo2: relaxed, GGA-PBE.

Results
Total DFT energy (no corrections)   -4.610 eV/atom
ΔH_f (0 K)   0.068 eV per atom
Density   7.65 g/cm3
Total magnetic moment   0.0000 μB per atom

a = 7.0397 Å, b = 5.7155 Å, c = 9.9156 Å
α = 90.00°, β = 90.00°, γ = 90.00°
Last column: nearest neighbours and their distance in Å.
Space group Pmma (No. 51)
Inequivalent atoms, fractional coordinates:
Pm 0.0000 0.0000 0.0000 x2  2 Pm 3.52, 2 Pr 3.71, 4 Dy 3.73, 6 Ho 3.74-3.75
Pr 0.0000 0.5000 0.5000 x2  6 Pr 3.52-3.76, 6 Ho 3.74-3.75, 2 Dy 3.77
Pr 0.2500 0.0000 0.3293 x2  5 Ho 3.28-3.52
Dy 0.2500 0.5000 0.8362 x2  5 Ho 3.27-3.52
Ho 0.2500 0.0000 0.6659 x2  2 Dy 3.32, 3 Pr 3.34-3.52
Ho 0.2500 0.5000 0.1664 x2  3 Dy 3.27-3.52, 2 Pr 3.28